[1]
DFT (GGA-PBE) results for a relaxed ScSbTe2Pt crystal.

Values from the calculation:
**ΔE to the lowest computed polymorph**: 412 meV/atom
**Crystal system**: tetragonal
**M_tot**: 0.000 μB per formula unit
**Formation energy (no corrections)**: 0.52 eV/atom

```
data_ScSbTe2Pt
_chemical_formula_sum 'Sc1 Sb1 Te2 Pt1'
_symmetry_space_group_name_H-M 'P 4/m m m'
_symmetry_Int_Tables_number 123
_symmetry_space_group_name_Hall '-P 4 2'
_cell_length_a 5.3563
_cell_length_b 5.3563
_cell_length_c 5.4400
_cell_angle_alpha 90.00
_cell_angle_beta 90.00
_cell_angle_gamma 90.00
loop_
_atom_site_label
_atom_site_type_symbol
_atom_site_fract_x
_atom_site_fract_y
_atom_site_fract_z
Sc1 Sc 0.0000 0.0000 0.0000
Sb1 Sb 0.0000 0.0000 0.5000
Te1 Te 0.0000 0.5000 0.0000
Pt1 Pt 0.5000 0.5000 0.5000
```

=====

[2]
DFT (GGA-PBE) results for a relaxed ScSbTe2Pt crystal.

Values from the calculation:
**ΔE to the lowest computed polymorph**: 0 meV/atom
**Crystal system**: tetragonal
**M_tot**: 0.000 μB per formula unit
**Formation energy (no corrections)**: 0.10 eV/atom

```
data_ScSbTe2Pt
_chemical_formula_sum 'Sc1 Sb1 Te2 Pt1'
_symmetry_space_group_name_H-M 'P 4/m m m'
_symmetry_Int_Tables_number 123
_symmetry_space_group_name_Hall '-P 4 2'
_cell_length_a 5.4087
_cell_length_b 5.4087
_cell_length_c 5.0838
_cell_angle_alpha 90.00
_cell_angle_beta 90.00
_cell_angle_gamma 90.00
loop_
_atom_site_label
_atom_site_type_symbol
_atom_site_fract_x
_atom_site_fract_y
_atom_site_fract_z
Sc1 Sc 0.0000 0.0000 0.0000
Sb1 Sb 0.5000 0.5000 0.0000
Te1 Te 0.0000 0.5000 0.5000
Pt1 Pt 0.5000 0.5000 0.5000
```

=====

[3]
DFT (GGA-PBE) results for a relaxed Sc2SbPtW crystal.

Values from the calculation:
**Crystal system**: tetragonal
**M_tot**: 0.000 μB per formula unit
**Formation energy (no corrections)**: 0.59 eV/atom

```
data_Sc2SbPtW
_chemical_formula_sum 'Sc2 Sb1 Pt1 W1'
_symmetry_space_group_name_H-M 'P 4/m m m'
_symmetry_Int_Tables_number 123
_symmetry_space_group_name_Hall '-P 4 2'
_cell_length_a 4.9882
_cell_length_b 4.9882
_cell_length_c 5.0481
_cell_angle_alpha 90.00
_cell_angle_beta 90.00
_cell_angle_gamma 90.00
loop_
_atom_site_label
_atom_site_type_symbol
_atom_site_fract_x
_atom_site_fract_y
_atom_site_fract_z
Sc1 Sc 0.0000 0.5000 0.0000
Sb1 Sb 0.0000 0.0000 0.5000
Pt1 Pt 0.5000 0.5000 0.5000
W1 W 0.0000 0.0000 0.0000
```

=====

[4]
DFT (GGA-PBE) results for a relaxed SbPtSe crystal.

Values from the calculation:
**Crystal system**: cubic
**M_tot**: 0.000 μB per formula unit
**Formation energy (no corrections)**: -0.44 eV/atom

```
data_SbPtSe
_chemical_formula_sum 'Sb4 Pt4 Se4'
_symmetry_space_group_name_H-M 'P 21 3'
_symmetry_Int_Tables_number 198
_symmetry_space_group_name_Hall 'P 2ac 2ab 3'
_cell_length_a 6.4280
_cell_length_b 6.4280
_cell_length_c 6.4280
_cell_angle_alpha 90.00
_cell_angle_beta 90.00
_cell_angle_gamma 90.00
loop_
_atom_site_label
_atom_site_type_symbol
_atom_site_fract_x
_atom_site_fract_y
_atom_site_fract_z
Sb1 Sb 0.1254 0.1254 0.1254
Pt1 Pt 0.2486 0.2514 0.7486
Se1 Se 0.1314 0.6314 0.8686
```

=====

[5]
DFT (GGA-PBE) results for a relaxed SbPt2Se crystal.

Values from the calculation:
**ΔE to the lowest computed polymorph**: 67 meV/atom
**Crystal system**: monoclinic
**M_tot**: 0.000 μB per formula unit
**Formation energy (no corrections)**: -0.20 eV/atom

```
data_SbPt2Se
_chemical_formula_sum 'Sb1 Pt2 Se1'
_symmetry_space_group_name_H-M 'P 1 m 1'
_symmetry_Int_Tables_number 6
_cell_length_a 4.0466
_cell_length_b 3.6683
_cell_length_c 5.3866
_cell_angle_alpha 90.00
_cell_angle_beta 103.60
_cell_angle_gamma 90.00
loop_
_symmetry_equiv_pos_as_xyz
'x,y,z'
'x,-y,z'
loop_
_atom_site_label
_atom_site_type_symbol
_atom_site_fract_x
_atom_site_fract_y
_atom_site_fract_z
Sb1 Sb 0.0000 0.0000 0.0000
Pt1 Pt 0.4960 0.5000 0.1213
Pt2 Pt 0.8788 0.0000 0.4862
Se1 Se 0.3676 0.5000 0.5742
```

=====

[6]
DFT (GGA-PBE) results for a relaxed SbPt4Se crystal.

Values from the calculation:
**Crystal system**: cubic
**M_tot**: 0.000 μB per formula unit
**Formation energy (no corrections)**: 0.21 eV/atom

```
data_SbPt4Se
_chemical_formula_sum 'Sb4 Pt16 Se4'
_symmetry_space_group_name_H-M 'F -4 3 m'
_symmetry_Int_Tables_number 216
_symmetry_space_group_name_Hall 'F -4 2 3'
_cell_length_a 7.6364
_cell_length_b 7.6364
_cell_length_c 7.6364
_cell_angle_alpha 90.00
_cell_angle_beta 90.00
_cell_angle_gamma 90.00
loop_
_atom_site_label
_atom_site_type_symbol
_atom_site_fract_x
_atom_site_fract_y
_atom_site_fract_z
Sb1 Sb 0.0000 0.0000 0.0000
Pt1 Pt 0.1253 0.1253 0.3747
Se1 Se 0.2500 0.2500 0.7500
```

=====

[7]
DFT (GGA-PBE) results for a relaxed SbPt2Se crystal.

Values from the calculation:
**ΔE to the lowest computed polymorph**: 153 meV/atom
**Crystal system**: tetragonal
**M_tot**: 0.000 μB per formula unit
**Formation energy (no corrections)**: -0.11 eV/atom

```
data_SbPt2Se
_chemical_formula_sum 'Sb4 Pt8 Se4'
_symmetry_space_group_name_H-M 'I -4 2 d'
_symmetry_Int_Tables_number 122
_symmetry_space_group_name_Hall 'I -4 2bw'
_cell_length_a 6.0910
_cell_length_b 6.0910
_cell_length_c 10.6823
_cell_angle_alpha 90.00
_cell_angle_beta 90.00
_cell_angle_gamma 90.00
loop_
_atom_site_label
_atom_site_type_symbol
_atom_site_fract_x
_atom_site_fract_y
_atom_site_fract_z
Sb1 Sb 0.0000 0.0000 0.0000
Pt1 Pt 0.2297 0.2500 0.6250
Se1 Se 0.0000 0.0000 0.5000
```

=====

[8]
DFT (GGA-PBE) results for a relaxed SbPtSe4 crystal.

Values from the calculation:
**ΔE to the lowest computed polymorph**: 1051 meV/atom
**Crystal system**: cubic
**M_tot**: 0.000 μB per formula unit
**Formation energy (no corrections)**: 0.79 eV/atom

```
data_SbPtSe4
_chemical_formula_sum 'Sb4 Pt4 Se16'
_symmetry_space_group_name_H-M 'F -4 3 m'
_symmetry_Int_Tables_number 216
_symmetry_space_group_name_Hall 'F -4 2 3'
_cell_length_a 8.0173
_cell_length_b 8.0173
_cell_length_c 8.0173
_cell_angle_alpha 90.00
_cell_angle_beta 90.00
_cell_angle_gamma 90.00
loop_
_atom_site_label
_atom_site_type_symbol
_atom_site_fract_x
_atom_site_fract_y
_atom_site_fract_z
Sb1 Sb 0.0000 0.0000 0.0000
Pt1 Pt 0.2500 0.2500 0.2500
Se1 Se 0.1234 0.1234 0.6234
```

=====

[9]
DFT (GGA-PBE) results for a relaxed SbPt2Se crystal.

Values from the calculation:
**ΔE to the lowest computed polymorph**: 336 meV/atom
**Crystal system**: orthorhombic
**M_tot**: 0.000 μB per formula unit
**Formation energy (no corrections)**: 0.07 eV/atom

```
data_SbPt2Se
_chemical_formula_sum 'Sb2 Pt4 Se2'
_symmetry_space_group_name_H-M 'I m m 2'
_symmetry_Int_Tables_number 44
_cell_length_a 3.6048
_cell_length_b 4.7562
_cell_length_c 8.7913
_cell_angle_alpha 90.00
_cell_angle_beta 90.00
_cell_angle_gamma 90.00
loop_
_symmetry_equiv_pos_as_xyz
'x,y,z'
'-x,-y,z'
'-x,y,z'
'x,-y,z'
'x+1/2,y+1/2,z+1/2'
'-x+1/2,-y+1/2,z+1/2'
'-x+1/2,y+1/2,z+1/2'
'x+1/2,-y+1/2,z+1/2'
loop_
_atom_site_label
_atom_site_type_symbol
_atom_site_fract_x
_atom_site_fract_y
_atom_site_fract_z
Sb1 Sb 0.0000 0.0000 0.0000
Pt1 Pt 0.0000 0.0000 0.4929
Pt2 Pt 0.0000 0.5000 0.2408
Se1 Se 0.0000 0.5000 0.7816
```

=====

[10]
DFT (GGA-PBE) results for a relaxed Sb3PtSe crystal.

Values from the calculation:
**ΔE to the lowest computed polymorph**: 0 meV/atom
**Crystal system**: cubic
**M_tot**: 0.000 μB per formula unit
**Formation energy (no corrections)**: 0.43 eV/atom

```
data_Sb3PtSe
_chemical_formula_sum 'Sb3 Pt1 Se1'
_symmetry_space_group_name_H-M 'P m -3 m'
_symmetry_Int_Tables_number 221
_symmetry_space_group_name_Hall '-P 4 2 3'
_cell_length_a 5.2642
_cell_length_b 5.2642
_cell_length_c 5.2642
_cell_angle_alpha 90.00
_cell_angle_beta 90.00
_cell_angle_gamma 90.00
loop_
_atom_site_label
_atom_site_type_symbol
_atom_site_fract_x
_atom_site_fract_y
_atom_site_fract_z
Sb1 Sb 0.0000 0.0000 0.5000
Pt1 Pt 0.0000 0.0000 0.0000
Se1 Se 0.5000 0.5000 0.5000
```

=====

[11]
DFT (GGA-PBE) results for a relaxed SbPt3Se crystal.

Values from the calculation:
**ΔE to the lowest computed polymorph**: 485 meV/atom
**Crystal system**: cubic
**M_tot**: 0.000 μB per formula unit
**Formation energy (no corrections)**: 0.98 eV/atom

```
data_SbPt3Se
_chemical_formula_sum 'Sb1 Pt3 Se1'
_symmetry_space_group_name_H-M 'P m -3 m'
_symmetry_Int_Tables_number 221
_symmetry_space_group_name_Hall '-P 4 2 3'
_cell_length_a 4.9652
_cell_length_b 4.9652
_cell_length_c 4.9652
_cell_angle_alpha 90.00
_cell_angle_beta 90.00
_cell_angle_gamma 90.00
loop_
_atom_site_label
_atom_site_type_symbol
_atom_site_fract_x
_atom_site_fract_y
_atom_site_fract_z
Sb1 Sb 0.0000 0.0000 0.0000
Pt1 Pt 0.0000 0.0000 0.5000
Se1 Se 0.5000 0.5000 0.5000
```

=====

[12]
DFT (GGA-PBE) results for a relaxed SbPtSe3 crystal.

Values from the calculation:
**ΔE to the lowest computed polymorph**: 0 meV/atom
**Crystal system**: orthorhombic
**M_tot**: 0.000 μB per formula unit
**Formation energy (no corrections)**: -0.27 eV/atom

```
data_SbPtSe3
_chemical_formula_sum 'Sb4 Pt4 Se12'
_symmetry_space_group_name_H-M 'P n m a'
_symmetry_Int_Tables_number 62
_cell_length_a 9.3520
_cell_length_b 3.9018
_cell_length_c 13.2457
_cell_angle_alpha 90.00
_cell_angle_beta 90.00
_cell_angle_gamma 90.00
loop_
_symmetry_equiv_pos_as_xyz
'x,y,z'
'-x,-y,-z'
'-x+1/2,-y,z+1/2'
'x+1/2,y,-z+1/2'
'x+1/2,-y+1/2,-z+1/2'
'-x+1/2,y+1/2,z+1/2'
'-x,y+1/2,-z'
'x,-y+1/2,z'
loop_
_atom_site_label
_atom_site_type_symbol
_atom_site_fract_x
_atom_site_fract_y
_atom_site_fract_z
Sb1 Sb 0.0008 0.2500 0.1586
Pt1 Pt 0.1616 0.2500 0.5476
Se1 Se 0.0045 0.7500 0.6048
Se2 Se 0.1716 0.2500 0.9876
Se3 Se 0.1948 0.7500 0.2103
```

=====

- Number 12 is which compound?
  SbPtSe3

=====

- Among the records above, which one has the highest formation energy (no corrections)?
  SbPt3Se